Entry from Alexandria: an optimized crystal structure of PmCuGe2Pt5 (PBE).

Computed properties:
- Theoretical density: 13.643 g/cm³
- DOS(E_F): 2.8 states/eV/cell
- Crystal system: tetragonal
- DFT formation energy: -0.476 eV per atom

Cell lengths 4.1631, 4.1631, 9.3349 Å; angles 90.00, 90.00, 90.00 degrees
With the nearest neighbours (Å) after each atom.
Space group P4/mmm (No. 123)
Inequivalent atoms, fractional coordinates:
Pm (0.0000, 0.0000, 0.0000) [1 per cell]  12 Pt 2.94-3.01
Cu (0.0000, 0.0000, 0.5000) [1 per cell]  8 Ge 3.18, 8 Pt 3.25
Ge (0.5000, 0.5000, 0.3726) [2 per cell]  1 Ge 2.38, 4 Pt 2.46
Pt (0.0000, 0.5000, 0.2323) [4 per cell]  2 Ge 2.46
Pt (0.5000, 0.5000, 0.0000) [1 per cell]  4 Pm 2.94, 8 Pt 3.01


Entry from Alexandria: an optimized crystal structure of PmCuGePt3 (PBE).

Computed properties:
- Theoretical density: 12.629 g/cm³
- DOS(E_F): 13.9 states/eV/cell
- Crystal system: orthorhombic
- DFT formation energy: -0.553 eV per atom

Cell lengths 6.8568, 11.6671, 5.6961 Å; angles 90.00, 90.00, 90.00 degrees
With the nearest neighbours (Å) after each atom.
Space group Cmcm (No. 63)
Inequivalent atoms, fractional coordinates:
Pm (0.0000, 0.2065, 0.2500) [4 per cell]  1 Cu 2.78, 2 Ge 3.00
Cu (0.0000, 0.4444, 0.2500) [4 per cell]  5 Pt 2.51-2.62, 1 Pm 2.78
Ge (0.0000, 0.1261, 0.7500) [4 per cell]  5 Pt 2.39-2.52
Pt (0.0000, 0.3312, 0.7500) [4 per cell]  1 Ge 2.39, 1 Cu 2.62
Pt (0.2137, 0.0000, 0.0000) [8 per cell]  2 Cu 2.51, 2 Ge 2.52


Entry from Alexandria: an optimized crystal structure of PmCuGe2Pt2 (PBE).

Computed properties:
- Theoretical density: 9.549 g/cm³
- DOS(E_F): 7.3 states/eV/cell
- Crystal system: tetragonal
- DFT formation energy: -0.239 eV per atom

Cell lengths 4.7702, 4.7702, 11.3718 Å; angles 90.00, 90.00, 90.00 degrees
With the nearest neighbours (Å) after each atom.
Space group I4/mmm (No. 139)
Inequivalent atoms, fractional coordinates:
Pm (0.0000, 0.0000, 0.0000) [2 per cell]  4 Cu 3.37, 2 Ge 3.46, 8 Pt 3.71
Cu (0.0000, 0.0000, 0.5000) [2 per cell]  2 Ge 2.22
Ge (0.0000, 0.0000, 0.3044) [4 per cell]  1 Cu 2.22, 4 Pt 2.46
Pt (0.0000, 0.5000, 0.2500) [4 per cell]  4 Ge 2.46


Entry from Alexandria: an optimized crystal structure of PmCuGePt (PBE).

Computed properties:
- Theoretical density: 10.896 g/cm³
- DOS(E_F): 5.2 states/eV/cell
- Crystal system: cubic
- DFT formation energy: -0.513 eV per atom

Cell lengths 6.6217, 6.6217, 6.6217 Å; angles 90.00, 90.00, 90.00 degrees
With the nearest neighbours (Å) after each atom.
Space group F-43m (No. 216)
Inequivalent atoms, fractional coordinates:
Pm (0.0000, 0.0000, 0.0000) [4 per cell]  4 Ge 2.87, 4 Cu 2.87
Cu (0.2500, 0.2500, 0.2500) [4 per cell]  4 Pm 2.87, 4 Pt 2.87
Ge (0.2500, 0.2500, 0.7500) [4 per cell]  4 Pm 2.87, 4 Pt 2.87
Pt (0.0000, 0.0000, 0.5000) [4 per cell]  4 Ge 2.87, 4 Cu 2.87


Entry from Alexandria: an optimized crystal structure of PmPuCu2Ge2 (PBE).

Computed properties:
- Theoretical density: 9.059 g/cm³
- DOS(E_F): 12.3 states/eV/cell
- Crystal system: trigonal
- DFT formation energy: -0.493 eV per atom

Cell lengths 4.2648, 4.2648, 7.6963 Å; angles 90.00, 90.00, 120.00 degrees
With the nearest neighbours (Å) after each atom.
Space group P-3m1 (No. 164)
Inequivalent atoms, fractional coordinates:
Pm (0.0000, 0.0000, 0.0000) [1 per cell]  6 Cu 3.14, 6 Ge 3.16
Pu (0.0000, 0.0000, 0.5000) [1 per cell]  6 Ge 3.09, 6 Cu 3.11
Cu (0.3333, 0.6667, 0.2530) [2 per cell]  3 Ge 2.46
Ge (0.3333, 0.6667, 0.7424) [2 per cell]  3 Cu 2.46


Entry from Alexandria: an optimized crystal structure of PmPuCuGe (PBE).

Computed properties:
- Theoretical density: 9.531 g/cm³
- DOS(E_F): 29.8 states/eV/cell
- Crystal system: cubic
- DFT formation energy: -0.305 eV per atom

Cell lengths 7.1532, 7.1532, 7.1532 Å; angles 90.00, 90.00, 90.00 degrees
With the nearest neighbours (Å) after each atom.
Space group F-43m (No. 216)
Inequivalent atoms, fractional coordinates:
Pm (0.0000, 0.0000, 0.0000) [4 per cell]  4 Cu 3.10, 4 Ge 3.10
Pu (0.0000, 0.0000, 0.5000) [4 per cell]  4 Ge 3.10, 4 Cu 3.10
Cu (0.2500, 0.2500, 0.7500) [4 per cell]  4 Pu 3.10, 4 Pm 3.10
Ge (0.2500, 0.2500, 0.2500) [4 per cell]  4 Pm 3.10, 4 Pu 3.10


Entry from Alexandria: an optimized crystal structure of PmPu2Cu2Ge2 (PBE).

Computed properties:
- Theoretical density: 11.721 g/cm³
- DOS(E_F): 26.7 states/eV/cell
- Crystal system: trigonal
- DFT formation energy: -0.281 eV per atom

Cell lengths 4.0426, 4.0426, 27.1881 Å; angles 90.00, 90.00, 120.00 degrees
With the nearest neighbours (Å) after each atom.
Space group R-3m (No. 166, hexagonal axes)
Inequivalent atoms, fractional coordinates:
Pm (0.0000, 0.0000, 0.0000) [3 per cell]  6 Ge 3.08, 6 Cu 3.23
Pu (0.0000, 0.0000, 0.1514) [6 per cell]  3 Pu 2.48
Cu (0.0000, 0.0000, 0.4153) [6 per cell]  3 Ge 2.34
Ge (0.0000, 0.0000, 0.2592) [6 per cell]  3 Cu 2.34


Entry from Alexandria: an optimized crystal structure of PmCu2GeRh (PBE).

Computed properties:
- Theoretical density: 8.552 g/cm³
- DOS(E_F): 6.2 states/eV/cell
- Crystal system: orthorhombic
- DFT formation energy: -0.440 eV per atom

Cell lengths 3.9527, 4.0927, 10.7455 Å; angles 90.00, 90.00, 90.00 degrees
With the nearest neighbours (Å) after each atom.
Space group Imm2 (No. 44)
Inequivalent atoms, fractional coordinates:
Pm (0.0000, 0.0000, 0.0000) [2 per cell]  8 Cu 3.04-3.38, 4 Ge 3.15, 2 Rh 3.27
Cu (0.0000, 0.0000, 0.6007) [2 per cell]  1 Ge 2.43, 2 Cu 2.51, 2 Rh 2.55
Cu (0.0000, 0.5000, 0.2444) [2 per cell]  2 Ge 2.48, 2 Cu 2.51
Ge (0.0000, 0.0000, 0.3749) [2 per cell]  3 Cu 2.43-2.48, 2 Rh 2.44
Rh (0.0000, 0.5000, 0.7419) [2 per cell]  2 Ge 2.44, 2 Cu 2.55


Entry from Alexandria: an optimized crystal structure of PmCuGeRu (PBE).

Computed properties:
- Theoretical density: 9.028 g/cm³
- DOS(E_F): 12.8 states/eV/cell
- Crystal system: cubic
- DFT formation energy: -0.085 eV per atom

Cell lengths 6.5517, 6.5517, 6.5517 Å; angles 90.00, 90.00, 90.00 degrees
With the nearest neighbours (Å) after each atom.
Space group F-43m (No. 216)
Inequivalent atoms, fractional coordinates:
Pm (0.0000, 0.0000, 0.0000) [4 per cell]  4 Ru 2.84, 4 Cu 2.84
Cu (0.2500, 0.2500, 0.2500) [4 per cell]  4 Ge 2.84, 4 Pm 2.84
Ge (0.0000, 0.0000, 0.5000) [4 per cell]  4 Cu 2.84, 4 Ru 2.84
Ru (0.2500, 0.2500, 0.7500) [4 per cell]  4 Ge 2.84, 4 Pm 2.84


Entry from Alexandria: an optimized crystal structure of PmCuGe2Ru (PBE).

Computed properties:
- Theoretical density: 8.371 g/cm³
- DOS(E_F): 6.3 states/eV/cell
- Crystal system: tetragonal
- DFT formation energy: -0.504 eV per atom

Cell lengths 4.1303, 4.1303, 10.5788 Å; angles 90.00, 90.00, 90.00 degrees
With the nearest neighbours (Å) after each atom.
Space group I-4m2 (No. 119)
Inequivalent atoms, fractional coordinates:
Pm (0.0000, 0.0000, 0.0000) [2 per cell]  8 Ge 3.20, 4 Ru 3.36, 4 Cu 3.36
Cu (0.0000, 0.5000, 0.2500) [2 per cell]  4 Ge 2.47
Ge (0.0000, 0.0000, 0.3775) [4 per cell]  2 Ru 2.47, 2 Cu 2.47, 1 Ge 2.59
Ru (0.0000, 0.5000, 0.7500) [2 per cell]  4 Ge 2.47


Entry from Alexandria: an optimized crystal structure of Pm2Cu3Ge4Ru (PBE).

Computed properties:
- Theoretical density: 8.142 g/cm³
- DOS(E_F): 6.2 states/eV/cell
- Crystal system: tetragonal
- DFT formation energy: -0.497 eV per atom

Cell lengths 4.1312, 4.1312, 10.4233 Å; angles 90.00, 90.00, 90.00 degrees
With the nearest neighbours (Å) after each atom.
Space group P-4m2 (No. 115)
Inequivalent atoms, fractional coordinates:
Pm (0.0000, 0.5000, 0.2489) [2 per cell]  6 Cu 3.16-3.33, 8 Ge 3.17-3.32, 2 Ru 3.33
Cu (0.0000, 0.5000, 0.8659) [2 per cell]  5 Ge 2.42-2.49
Cu (0.5000, 0.5000, 0.5000) [1 per cell]  4 Ge 2.49
Ge (0.0000, 0.0000, 0.0000) [1 per cell]  4 Cu 2.49
Ge (0.0000, 0.5000, 0.6336) [2 per cell]  3 Cu 2.42-2.49, 2 Ru 2.49
Ge (0.5000, 0.5000, 0.0000) [1 per cell]  4 Cu 2.49
Ru (0.0000, 0.0000, 0.5000) [1 per cell]  4 Ge 2.49


Entry from Alexandria: an optimized crystal structure of Pm2Cu4Ge3Sb (PBE).

Computed properties:
- Theoretical density: 7.832 g/cm³
- Formation energy without anion corrections: -0.474 eV per atom
- DOS(E_F): 2.5 states/eV/cell
- Crystal system: tetragonal

Cell lengths 4.2709, 4.2709, 10.2739 Å; angles 90.00, 90.00, 90.00 degrees
With the nearest neighbours (Å) after each atom.
Space group P-4m2 (No. 115)
Inequivalent atoms, fractional coordinates:
Pm (0.0000, 0.5000, 0.2295) [2 per cell]  8 Cu 3.18-3.28, 6 Ge 3.21-3.50, 2 Sb 3.50
Cu (0.0000, 0.0000, 0.0000) [1 per cell]  4 Ge 2.49
Cu (0.0000, 0.5000, 0.6449) [2 per cell]  3 Ge 2.37-2.60, 2 Sb 2.60
Cu (0.5000, 0.5000, 0.0000) [1 per cell]  4 Ge 2.49
Ge (0.0000, 0.5000, 0.8756) [2 per cell]  5 Cu 2.37-2.49
Ge (0.5000, 0.5000, 0.5000) [1 per cell]  4 Cu 2.60
Sb (0.0000, 0.0000, 0.5000) [1 per cell]  4 Cu 2.60